! HIBr | Alexandria via LeMat-Bulk | PBE | optimized geometry; values from VASP
&SYSTEM
  ibrav = 0, nat = 6, ntyp = 3
/
ATOMIC_SPECIES
H 1.01 H.upf
I 126.90 I.upf
Br 79.90 Br.upf
CELL_PARAMETERS angstrom
4.853 0.000 0.000
0.000 8.100 0.000
-0.956 0.000 4.771
ATOMIC_POSITIONS crystal
H 0.000 0.000 0.000
H 0.500 0.500 0.000
I 0.225 0.500 0.275
I 0.725 0.000 0.275
Br 0.215 0.000 0.785
Br 0.715 0.500 0.785
! Space group: No. 8
! Theoretical density, Mg/m³: 3.7
! E above lowest polymorph, eV per formula unit: 0.47
! D(E_F), states/eV per cell: 2.91

***

! Pa2AsRh | Alexandria via LeMat-Bulk | PBE | optimized geometry; values from VASP
&SYSTEM
  ibrav = 0, nat = 8, ntyp = 3
/
ATOMIC_SPECIES
Pa 231.04 Pa.upf
As 74.92 As.upf
Rh 102.91 Rh.upf
CELL_PARAMETERS angstrom
5.944 0.000 0.000
0.000 3.925 0.000
-2.878 0.000 7.543
ATOMIC_POSITIONS crystal
Pa 0.212 0.250 0.442
Pa 0.217 0.250 0.904
Pa 0.783 0.750 0.096
Pa 0.788 0.750 0.558
As 0.310 0.750 0.197
As 0.690 0.250 0.803
Rh 0.358 0.750 0.711
Rh 0.642 0.250 0.289
! Space group: No. 11
! Theoretical density, Mg/m³: 12.1
! Calculated formation energy, eV per atom: -0.79
! E above lowest polymorph, eV per formula unit: 0.00
! D(E_F), states/eV per cell: 11.08

***

! PaBe2Rh | Alexandria via LeMat-Bulk | PBE | optimized geometry; values from VASP
&SYSTEM
  ibrav = 0, nat = 4, ntyp = 3
/
ATOMIC_SPECIES
Pa 231.04 Pa.upf
Be 9.01 Be.upf
Rh 102.91 Rh.upf
CELL_PARAMETERS angstrom
2.925 0.000 0.000
0.000 2.925 0.000
0.000 0.000 6.535
ATOMIC_POSITIONS crystal
Pa 0.000 0.000 0.000
Be 0.500 0.500 0.324
Be 0.500 0.500 0.676
Rh 0.000 0.000 0.500
! Space group: No. 123
! Theoretical density, Mg/m³: 10.5
! Calculated formation energy, eV per atom: -0.30
! E above lowest polymorph, eV per formula unit: 0.00
! D(E_F), states/eV per cell: 3.79

***

! MnAg2Te | Alexandria via LeMat-Bulk | PBE | optimized geometry; values from VASP
&SYSTEM
  ibrav = 0, nat = 4, ntyp = 3
/
ATOMIC_SPECIES
Mn 54.94 Mn.upf
Ag 107.87 Ag.upf
Te 127.60 Te.upf
CELL_PARAMETERS angstrom
3.633 0.000 0.000
0.000 3.633 0.000
0.000 0.000 6.141
ATOMIC_POSITIONS crystal
Mn 0.000 0.000 0.000
Ag 0.000 0.000 0.539
Ag 0.500 0.500 0.746
Te 0.500 0.500 0.216
! Space group: No. 99
! Theoretical density, Mg/m³: 8.2
! Energy relative to the elements, uncorrected, eV per atom: 0.16
! D(E_F), states/eV per cell: 1.81

***

! UCl5 | Alexandria via LeMat-Bulk | PBE | optimized geometry; values from VASP
&SYSTEM
  ibrav = 0, nat = 12, ntyp = 2
/
ATOMIC_SPECIES
U 238.03 U.upf
Cl 35.45 Cl.upf
CELL_PARAMETERS angstrom
9.222 0.000 0.000
0.000 9.222 0.000
0.000 0.000 5.392
ATOMIC_POSITIONS crystal
U 0.000 0.000 0.000
U 0.500 0.500 0.500
Cl 0.000 0.000 0.500
Cl 0.062 0.739 0.000
Cl 0.239 0.438 0.500
Cl 0.261 0.062 0.000
Cl 0.438 0.761 0.500
Cl 0.500 0.500 0.000
Cl 0.562 0.239 0.500
Cl 0.739 0.938 0.000
Cl 0.761 0.562 0.500
Cl 0.938 0.261 0.000
! Space group: No. 87
! Theoretical density, Mg/m³: 3.0
! Energy relative to the elements, uncorrected, eV per atom: -1.60
! E above lowest polymorph, eV per formula unit: 0.08
! D(E_F), states/eV per cell: 1.86

***

! DyB3 | Alexandria via LeMat-Bulk | PBE | optimized geometry; values from VASP
&SYSTEM
  ibrav = 0, nat = 8, ntyp = 2
/
ATOMIC_SPECIES
Dy 162.50 Dy.upf
B 10.81 B.upf
CELL_PARAMETERS angstrom
3.605 0.000 0.000
0.000 3.605 0.000
0.000 0.000 8.324
ATOMIC_POSITIONS crystal
Dy 0.000 0.000 0.000
Dy 0.500 0.500 0.500
B 0.000 0.000 0.311
B 0.000 0.000 0.500
B 0.000 0.000 0.689
B 0.500 0.500 0.000
B 0.500 0.500 0.189
B 0.500 0.500 0.811
! Space group: No. 139
! Theoretical density, Mg/m³: 6.0
! Calculated formation energy, eV per atom: 0.43
! D(E_F), states/eV per cell: 2.45

***

! YHf2Zr3N6 | Alexandria via LeMat-Bulk | PBE | optimized geometry; values from VASP
&SYSTEM
  ibrav = 0, nat = 12, ntyp = 4
/
ATOMIC_SPECIES
Y 88.91 Y.upf
Hf 178.49 Hf.upf
Zr 91.22 Zr.upf
N 14.01 N.upf
CELL_PARAMETERS angstrom
7.139 -1.630 0.000
7.139 1.630 0.000
-1.511 0.000 6.411
ATOMIC_POSITIONS crystal
Y 0.000 0.000 0.000
Hf 0.333 0.333 0.666
Hf 0.667 0.667 0.334
Zr 0.000 0.000 0.500
Zr 0.334 0.334 0.168
Zr 0.666 0.666 0.832
N 0.169 0.169 0.576
N 0.171 0.171 0.095
N 0.495 0.495 0.738
N 0.505 0.505 0.262
N 0.829 0.829 0.905
N 0.831 0.831 0.424
! Space group: No. 12
! Theoretical density, Mg/m³: 8.9
! Energy relative to the elements, uncorrected, eV per atom: -1.71
! D(E_F), states/eV per cell: 2.95

***

! Ta2Ag2Ir | Alexandria via LeMat-Bulk | PBE | optimized geometry; values from VASP
&SYSTEM
  ibrav = 0, nat = 10, ntyp = 3
/
ATOMIC_SPECIES
Ta 180.95 Ta.upf
Ag 107.87 Ag.upf
Ir 192.22 Ir.upf
CELL_PARAMETERS angstrom
7.811 0.000 0.000
0.000 7.811 0.000
0.000 0.000 2.954
ATOMIC_POSITIONS crystal
Ta 0.125 0.375 0.000
Ta 0.375 0.875 0.000
Ta 0.625 0.125 0.000
Ta 0.875 0.625 0.000
Ag 0.172 0.672 0.500
Ag 0.328 0.172 0.500
Ag 0.672 0.828 0.500
Ag 0.828 0.328 0.500
Ir 0.000 0.000 0.000
Ir 0.500 0.500 0.000
! Space group: No. 127
! Theoretical density, Mg/m³: 14.2
! Calculated formation energy, eV per atom: 0.82
! E above lowest polymorph, eV per formula unit: 1.12
! D(E_F), states/eV per cell: 12.09

***

! Ta2SnH | Alexandria via LeMat-Bulk | PBE | optimized geometry; values from VASP
&SYSTEM
  ibrav = 0, nat = 16, ntyp = 3
/
ATOMIC_SPECIES
Ta 180.95 Ta.upf
Sn 118.71 Sn.upf
H 1.01 H.upf
CELL_PARAMETERS angstrom
6.443 0.000 0.000
0.000 6.443 0.000
0.000 0.000 6.443
ATOMIC_POSITIONS crystal
Ta 0.250 0.250 0.250
Ta 0.250 0.250 0.750
Ta 0.250 0.750 0.250
Ta 0.250 0.750 0.750
Ta 0.750 0.250 0.250
Ta 0.750 0.250 0.750
Ta 0.750 0.750 0.250
Ta 0.750 0.750 0.750
Sn 0.000 0.000 0.000
Sn 0.000 0.500 0.500
Sn 0.500 0.000 0.500
Sn 0.500 0.500 0.000
H 0.000 0.000 0.500
H 0.000 0.500 0.000
H 0.500 0.000 0.000
H 0.500 0.500 0.500
! Space group: No. 225
! Theoretical density, Mg/m³: 12.0
! E above lowest polymorph, eV per formula unit: 2.98
! D(E_F), states/eV per cell: 10.45

***

! La2TiIn | Alexandria via LeMat-Bulk | PBE | optimized geometry; values from VASP
&SYSTEM
  ibrav = 0, nat = 16, ntyp = 3
/
ATOMIC_SPECIES
La 138.91 La.upf
Ti 47.87 Ti.upf
In 114.82 In.upf
CELL_PARAMETERS angstrom
8.630 0.000 0.000
0.000 8.630 0.000
0.000 0.000 6.218
ATOMIC_POSITIONS crystal
La 0.228 0.250 0.125
La 0.250 0.728 0.375
La 0.250 0.772 0.875
La 0.272 0.250 0.625
La 0.728 0.750 0.625
La 0.750 0.228 0.875
La 0.750 0.272 0.375
La 0.772 0.750 0.125
Ti 0.000 0.000 0.000
Ti 0.000 0.500 0.250
Ti 0.500 0.000 0.750
Ti 0.500 0.500 0.500
In 0.000 0.000 0.500
In 0.000 0.500 0.750
In 0.500 0.000 0.250
In 0.500 0.500 0.000
! Space group: No. 122
! Theoretical density, Mg/m³: 6.3
! Calculated formation energy, eV per atom: 0.26
! E above lowest polymorph, eV per formula unit: 0.90
! D(E_F), states/eV per cell: 22.21

***

! NaPrNd | Alexandria via LeMat-Bulk | PBE | optimized geometry; values from VASP
&SYSTEM
  ibrav = 0, nat = 12, ntyp = 3
/
ATOMIC_SPECIES
Na 22.99 Na.upf
Pr 140.91 Pr.upf
Nd 144.24 Nd.upf
CELL_PARAMETERS angstrom
21.426 0.000 0.000
0.000 3.592 0.000
0.000 0.000 5.751
ATOMIC_POSITIONS crystal
Na 0.208 0.000 0.249
Na 0.292 0.500 0.751
Na 0.708 0.500 0.249
Na 0.792 0.000 0.751
Pr 0.111 0.500 0.750
Pr 0.389 0.000 0.250
Pr 0.611 0.000 0.750
Pr 0.889 0.500 0.250
Nd 0.040 0.000 0.250
Nd 0.460 0.500 0.750
Nd 0.540 0.500 0.250
Nd 0.960 0.000 0.750
! Space group: No. 12
! Theoretical density, Mg/m³: 4.6
! Calculated formation energy, eV per atom: 0.12
! E above lowest polymorph, eV per formula unit: 0.15
! D(E_F), states/eV per cell: 14.01

***

! AcAs2W | Alexandria via LeMat-Bulk | PBE | optimized geometry; values from VASP
&SYSTEM
  ibrav = 0, nat = 12, ntyp = 3
/
ATOMIC_SPECIES
Ac 227.00 Ac.upf
As 74.92 As.upf
W 183.84 W.upf
CELL_PARAMETERS angstrom
3.453 0.000 0.000
-1.727 2.991 0.000
0.000 0.000 29.248
ATOMIC_POSITIONS crystal
Ac 0.000 0.000 0.000
Ac 0.333 0.667 0.667
Ac 0.667 0.333 0.333
As 0.000 0.000 0.109
As 0.000 0.000 0.891
As 0.333 0.667 0.557
As 0.333 0.667 0.776
As 0.667 0.333 0.224
As 0.667 0.333 0.443
W 0.000 0.000 0.500
W 0.333 0.667 0.167
W 0.667 0.333 0.833
! Space group: No. 166
! Theoretical density, Mg/m³: 9.2
! Calculated formation energy, eV per atom: 0.16
! E above lowest polymorph, eV per formula unit: 1.33
! D(E_F), states/eV per cell: 12.67

***

Number 9 is which compound? Ta2SnH